Compound: LaCe2PmPb4
Source: the Alexandria database
Functional: PBE
Structure: optimized geometry

Cell and atoms, written as POSCAR:
```
LaCe2PmPb4
1.0
2.656 1.534 10.439
-2.656 1.534 10.439
0.000 -3.067 10.439
La Ce Pm Pb
1 2 1 4
direct
0.000 0.000 0.000
0.247 0.247 0.247
0.753 0.753 0.753
0.500 0.500 0.500
0.126 0.126 0.126
0.378 0.378 0.378
0.622 0.622 0.622
0.874 0.874 0.874
```

Results
Space group: No. 166
Total energy (hartree per atom): -0.1824
Fermi-level density of states (states/eV/atom): 2.1313
Calculated density (Mg/m³): 9.1
E_form (meV per atom): -415